No. 1
VASP calculation (PBE-GGA) on a relaxed structure of LaPrPa.

a b c (Å): 5.2895 5.2895 5.2895
angles (deg): 60.00 60.00 60.00
Closest atoms and distances in Å follow each position.
Fractional coordinates of all 3 atoms:
La 0.2500 0.2500 0.2500  4 Pr 3.24
Pr 0.0000 0.0000 0.0000  4 Pa 3.24, 4 La 3.24
Pa 0.7500 0.7500 0.7500  4 Pr 3.24

Results
- Distance to the lowest polymorph of the same formula: 0 meV/atom
- Space-group type: F-43m (216)
- Formation enthalpy at 0 K: 1.0311 eV/atom

=====

No. 2
VASP calculation (PBE-GGA) on a relaxed structure of Gd2Ga2PdPt3.

a b c (Å): 4.4009 4.4009 9.1889
angles (deg): 90.00 90.00 120.00
Closest atoms and distances in Å follow each position.
Fractional coordinates of all 8 atoms:
Ga 0.6667 0.3333 0.0045  3 Pt 2.63, 3 Pd 2.67
Pt 0.3333 0.6667 0.4162  3 Ga 2.66, 3 Gd 2.96
Pd 0.0000 0.0000 0.9169  3 Ga 2.67, 3 Pt 2.94, 3 Gd 2.98
Ga 0.6667 0.3333 0.5005  6 Pt 2.66
Pt 0.3333 0.6667 0.0786  3 Ga 2.63, 3 Pd 2.94
Gd 0.0000 0.0000 0.2505  7 Pt 2.96-3.08, 1 Pd 3.07
Gd 0.3333 0.6667 0.7471  5 Pt 2.94-3.05, 3 Pd 2.98
Pt 0.0000 0.0000 0.5856  3 Ga 2.66, 3 Gd 2.94

Results
- Space-group type: P3m1 (156)
- Electronic total energy: -5.86 eV/atom

=====

No. 3
VASP calculation (PBE-GGA) on a relaxed structure of ScAsPtO.

a b c (Å): 3.9423 3.9423 8.0593
angles (deg): 90.00 90.00 90.00
Closest atoms and distances in Å follow each position.
Fractional coordinates of all 8 atoms:
O 0.2500 0.7500 0.0000  4 Sc 2.15
As 0.2500 0.2500 0.6979  4 Pt 2.54
O 0.7500 0.2500 0.0000  4 Sc 2.15
Sc 0.2500 0.2500 0.1058  4 O 2.15
Sc 0.7500 0.7500 0.8942  4 O 2.15
Pt 0.7500 0.2500 0.5000  4 As 2.54, 4 Pt 2.79
As 0.7500 0.7500 0.3021  4 Pt 2.54
Pt 0.2500 0.7500 0.5000  4 As 2.54, 4 Pt 2.79

Results
- Distance to the lowest polymorph of the same formula: 2 meV/atom
- Space-group type: P4/nmm (129)

=====

No. 4
VASP calculation (PBE-GGA) on a relaxed structure of PrBePO.

a b c (Å): 4.0507 4.0507 9.0002
angles (deg): 90.00 90.00 90.00
Closest atoms and distances in Å follow each position.
Fractional coordinates of all 8 atoms:
O 0.5000 0.0000 0.0000  4 Be 2.03
O 0.0000 0.5000 0.0000  4 Be 2.03
Pr 0.5000 0.0000 0.5000  4 P 2.80, 4 Pr 2.86
Be 0.5000 0.5000 0.0167  4 O 2.03
Pr 0.0000 0.5000 0.5000  4 P 2.80, 4 Pr 2.86
Be 0.0000 0.0000 0.9833  4 O 2.03
P 0.0000 0.0000 0.7150  1 Be 2.42
P 0.5000 0.5000 0.2850  1 Be 2.42

Results
- Distance to the lowest polymorph of the same formula: 1518 meV/atom
- Space-group type: P4/nmm (129)